Material: Ba2In3Sn4Pb
Method: DFT, PBE
State: optimized geometry

```
Ba2In3Sn4Pb
1.0
5.483 0.000 0.000
0.000 5.483 0.000
0.000 0.000 11.028
Ba In Sn Pb
2 3 4 1
direct
0.000 0.500 0.242
0.500 0.000 0.758
0.000 0.500 0.886
0.500 0.000 0.114
0.500 0.500 0.500
0.000 0.000 0.000
0.000 0.500 0.624
0.500 0.000 0.376
0.500 0.500 0.000
0.000 0.000 0.500
```

* DFT total energy: -34.97 eV/cell
* symmetry: P-4m2, No. 115
* calculated density: 6.5 g cm⁻³